This record from the Alexandria database describes a geometry-optimized LiPuMnO5 structure. The functional is GGA+U.

Cell lengths 6.437, 9.903, 7.661 Å; angles 90.00, 111.10, 90.00 degrees
Space group C2/c (No. 15)
Symmetry-distinct sites (fractional):
1 Li 0.000 0.037 0.250 x4
2 Pu 0.250 0.250 0.000 x4
3 Mn 0.000 0.456 0.250 x4
4 O 0.000 0.340 0.750 x4
5 O 0.026 0.172 0.064 x8
6 O 0.227 0.425 0.137 x8

Computed properties:
E_tot	-8.144	eV per atom
size of the total moment	6.0	μB/f.u.